[1]
Below is PaSeBr3 after structural relaxation, with properties calculated at the PBE level.

Values from the calculation:
* energy relative to the elements, uncorrected: -1.28 eV per atom
* Fermi-level density of states: 13.9 states/eV per cell
* spin magnetization: 1.0 μB per formula unit
* density: 4.48 g/cm3

Cell lengths 7.486, 7.799, 14.139 Å; angles 90.00, 98.98, 90.00 degrees
Last column: magnetic moment on the atom in μB.
Positions (direct):
Pa 0.082 0.627 0.640  0.99
Pa 0.918 0.373 0.360  0.99
Pa 0.918 0.627 0.860  0.99
Br 0.767 0.566 0.193  -0.02
Se 0.854 0.884 0.704  -0.02
Br 0.233 0.434 0.807  -0.02
Br 0.233 0.566 0.307  -0.02
Se 0.854 0.116 0.204  -0.02
Br 0.637 0.221 0.426  -0.02
Br 0.363 0.221 0.074  -0.02
Br 0.151 0.690 0.041  -0.01
Br 0.767 0.434 0.693  -0.02
Br 0.151 0.310 0.541  -0.01
Se 0.146 0.884 0.796  -0.02
Br 0.849 0.310 0.959  -0.01
Pa 0.082 0.373 0.140  0.99
Br 0.363 0.779 0.574  -0.02
Se 0.146 0.116 0.296  -0.02
Br 0.637 0.779 0.926  -0.02
Br 0.849 0.690 0.459  -0.01



[2]
Below is YPuAu after structural relaxation, with properties calculated at the PBE level.

Values from the calculation:
* Fermi-level density of states: 15.5 states/eV per cell
* spin magnetization: 5.9 μB per formula unit
* formation energy from the elements: -0.191 eV per atom
* density: 10.84 g/cm3

Cell lengths 5.122, 5.122, 6.736 Å; angles 76.49, 76.49, 99.67 degrees
Last column: magnetic moment on the atom in μB.
Positions (direct):
Y 0.245 0.755 0.000  0.04
Au 0.826 0.826 0.739  0.01
Pu 0.324 0.676 0.500  5.56
Y 0.755 0.245 0.000  0.04
Pu 0.676 0.324 0.500  5.56
Au 0.174 0.174 0.261  0.01



[3]
Below is Ca2AgSb after structural relaxation, with properties calculated at the PBE level.

Values from the calculation:
* energy relative to the elements, uncorrected: -0.53 eV per atom
* Fermi-level density of states: 0.8 states/eV per cell
* spin magnetization: 0.0 μB per formula unit
* density: 4.06 g/cm3

Cell lengths 4.414, 4.595, 6.245 Å; angles 90.00, 90.00, 90.00 degrees
Positions (direct):
Ca 0.500 0.500 0.372
Ca 0.000 0.000 0.879
Sb 0.000 0.000 0.378
Ag 0.500 0.500 0.871



[4]
Below is Y12Tm5Mg2 after structural relaxation, with properties calculated at the PBE level.

Values from the calculation:
* Fermi-level density of states: 32.4 states/eV per cell
* spin magnetization: 0.0 μB per formula unit
* formation energy from the elements: 0.103 eV per atom
* density: 5.43 g/cm3

Cell lengths 9.147, 9.080, 8.348 Å; angles 90.21, 90.00, 120.24 degrees
Positions (direct):
Tm 0.765 0.529 0.420
Y 0.089 0.177 0.891
Y 0.820 0.250 0.666
Mg 0.672 0.000 0.000
Y 0.911 0.823 0.109
Y 0.031 0.693 0.758
Y 0.557 0.114 0.332
Y 0.339 0.307 0.242
Y 0.570 0.750 0.334
Y 0.430 0.250 0.666
Y 0.443 0.886 0.668
Y 0.661 0.693 0.758
Tm 0.000 0.000 0.500
Y 0.180 0.750 0.334
Tm 0.302 0.603 0.991
Y 0.969 0.307 0.242
Tm 0.698 0.397 0.009
Mg 0.328 0.000 0.000
Tm 0.235 0.471 0.580



[5]
Below is NaDy2F8 after structural relaxation, with properties calculated at the PBE level.

Values from the calculation:
* energy relative to the elements, uncorrected: -3.46 eV per atom
* Fermi-level density of states: 8.2 states/eV per cell
* spin magnetization: 1.0 μB per formula unit
* density: 5.94 g/cm3

Cell lengths 3.705, 5.691, 7.331 Å; angles 110.10, 104.64, 90.00 degrees
Last column: magnetic moment on the atom in μB.
Positions (direct):
F 0.964 0.225 0.929  0.19
F 0.784 0.668 0.569  0.09
Na 0.500 0.000 0.000  0.00
F 0.036 0.775 0.071  0.19
F 0.319 0.040 0.638  0.03
F 0.399 0.541 0.798  0.16
Dy 0.824 0.312 0.649  -0.01
F 0.601 0.459 0.202  0.16
Dy 0.176 0.688 0.351  -0.01
F 0.216 0.332 0.431  0.09
F 0.681 0.960 0.362  0.03



[6]
Below is KCaTa after structural relaxation, with properties calculated at the PBE level.

Values from the calculation:
* Fermi-level density of states: 5.9 states/eV per cell
* spin magnetization: 4.5 μB per formula unit
* formation energy from the elements: 2.108 eV per atom
* density: 3.49 g/cm3

Cell lengths 5.594, 5.594, 5.594 Å; angles 60.00, 60.00, 60.00 degrees
Last column: magnetic moment on the atom in μB.
Positions (direct):
Ta 0.000 0.000 0.000  2.27
Ca 0.500 0.500 0.500  0.12
K 0.750 0.750 0.750  0.08



[7]
Below is TlRuN after structural relaxation, with properties calculated at the PBE level.

Values from the calculation:
* energy relative to the elements, uncorrected: 0.43 eV per atom
* Fermi-level density of states: 1.7 states/eV per cell
* spin magnetization: 0.0 μB per formula unit
* density: 8.90 g/cm3

Cell lengths 3.741, 3.741, 8.519 Å; angles 90.00, 90.00, 90.00 degrees
Positions (direct):
N 0.000 0.500 0.389
Ru 0.500 0.500 0.500
Tl 0.500 0.000 0.195
Ru 0.000 0.000 0.500
N 0.500 0.000 0.611
Tl 0.000 0.500 0.805



[8]
Below is SmTmTlPt after structural relaxation, with properties calculated at the PBE level.

Values from the calculation:
* Fermi-level density of states: 3.7 states/eV per cell
* spin magnetization: 0.0 μB per formula unit
* formation energy from the elements: -0.668 eV per atom
* density: 12.20 g/cm3

Cell lengths 5.172, 5.172, 5.172 Å; angles 60.00, 60.00, 60.00 degrees
Positions (direct):
Sm 0.500 0.500 0.500
Tm 0.000 0.000 0.000
Pt 0.750 0.750 0.750
Tl 0.250 0.250 0.250



[9]
Below is Dy7InRu4 after structural relaxation, with properties calculated at the PBE level.

Values from the calculation:
* Fermi-level density of states: 8.7 states/eV per cell
* spin magnetization: 0.0 μB per formula unit
* formation energy from the elements: -0.097 eV per atom
* density: 9.48 g/cm3

Cell lengths 5.515, 8.307, 7.317 Å; angles 75.98, 67.86, 70.61 degrees
Positions (direct):
In 0.000 0.000 0.000
Dy 0.787 0.878 0.549
Ru 0.699 0.651 0.952
Dy 0.679 0.369 0.273
Dy 0.924 0.375 0.777
Dy 0.213 0.122 0.451
Dy 0.500 0.000 0.000
Dy 0.321 0.631 0.727
Ru 0.565 0.223 0.647
Ru 0.301 0.349 0.048
Dy 0.076 0.625 0.223
Ru 0.435 0.777 0.353



[10]
Below is Ac2SmSb after structural relaxation, with properties calculated at the PBE level.

Values from the calculation:
* energy relative to the elements, uncorrected: 0.10 eV per atom
* Fermi-level density of states: 5.5 states/eV per cell
* spin magnetization: 0.0 μB per formula unit
* density: 7.56 g/cm3

Cell lengths 3.788, 3.788, 13.027 Å; angles 81.64, 81.64, 60.00 degrees
Positions (direct):
Sb 0.000 0.000 0.000
Sm 0.500 0.500 0.500
Ac 0.914 0.914 0.258
Ac 0.086 0.086 0.742



[11]
Below is MgSc6Co after structural relaxation, with properties calculated at the PBE level.

Values from the calculation:
* Fermi-level density of states: 10.0 states/eV per cell
* spin magnetization: 0.0 μB per formula unit
* formation energy from the elements: 0.107 eV per atom
* density: 3.17 g/cm3

Cell lengths 6.186, 6.186, 5.977 Å; angles 102.94, 102.94, 116.61 degrees
Positions (direct):
Sc 0.903 0.495 0.743
Sc 0.097 0.505 0.257
Co 0.500 0.500 0.500
Sc 0.277 0.277 0.710
Sc 0.495 0.903 0.743
Sc 0.723 0.723 0.290
Sc 0.505 0.097 0.257
Mg 0.000 0.000 0.000



[12]
Below is LaTh2Sc8 after structural relaxation, with properties calculated at the PBE level.

Values from the calculation:
* Fermi-level density of states: 20.1 states/eV per cell
* spin magnetization: 0.0 μB per formula unit
* formation energy from the elements: 0.185 eV per atom
* density: 5.13 g/cm3

Cell lengths 5.580, 9.335, 9.335 Å; angles 123.80, 107.44, 107.44 degrees
Positions (direct):
Sc 0.763 0.629 0.897
Sc 0.754 0.501 0.501
Th 0.000 0.309 0.691
Sc 0.237 0.103 0.371
Sc 0.500 0.800 0.200
Sc 0.246 0.499 0.499
La 0.500 0.000 0.000
Sc 0.500 0.200 0.800
Th 0.000 0.691 0.309
Sc 0.237 0.371 0.103
Sc 0.763 0.897 0.629



[13]
Below is Sm6Sb3PbSe2 after structural relaxation, with properties calculated at the PBE level.

Values from the calculation:
* energy relative to the elements, uncorrected: -1.29 eV per atom
* Fermi-level density of states: 3.0 states/eV per cell
* spin magnetization: 0.0 μB per formula unit
* density: 7.55 g/cm3

Cell lengths 4.390, 8.798, 9.799 Å; angles 102.74, 102.94, 90.00 degrees
Positions (direct):
Sb 0.834 0.169 0.669
Sm 0.668 0.089 0.337
Se 0.831 0.663 0.662
Pb 0.500 0.000 0.000
Sm 0.669 0.580 0.337
Sb 0.166 0.831 0.331
Sm 0.996 0.746 0.992
Sm 0.004 0.254 0.008
Sb 0.500 0.500 0.000
Sm 0.331 0.420 0.663
Se 0.169 0.337 0.338
Sm 0.332 0.911 0.663



[14]
Below is Ba2LiCaPd after structural relaxation, with properties calculated at the PBE level.

Values from the calculation:
* Fermi-level density of states: 4.6 states/eV per cell
* spin magnetization: 0.0 μB per formula unit
* formation energy from the elements: -0.114 eV per atom
* density: 3.43 g/cm3

Cell lengths 6.288, 6.288, 5.244 Å; angles 90.00, 90.00, 90.00 degrees
Positions (direct):
Ba 0.000 0.500 0.000
Pd 0.000 0.000 0.000
Li 0.000 0.000 0.500
Ba 0.500 0.000 0.000
Ca 0.500 0.500 0.500



[15]
Below is Ta2InNi after structural relaxation, with properties calculated at the PBE level.

Values from the calculation:
* Fermi-level density of states: 3.2 states/eV per cell
* spin magnetization: 0.0 μB per formula unit
* formation energy from the elements: 0.004 eV per atom
* density: 13.01 g/cm3

Cell lengths 2.928, 2.928, 7.971 Å; angles 90.00, 90.00, 90.00 degrees
Positions (direct):
Ta 0.500 0.500 0.247
Ni 0.500 0.500 0.756
In 0.000 0.000 0.531
Ta 0.000 0.000 0.966



[16]
Below is Sm3Th after structural relaxation, with properties calculated at the PBE level.

Values from the calculation:
* Fermi-level density of states: 7.6 states/eV per cell
* spin magnetization: 0.0 μB per formula unit
* formation energy from the elements: 0.067 eV per atom
* density: 8.42 g/cm3

Cell lengths 3.619, 5.911, 6.294 Å; angles 90.00, 90.00, 90.00 degrees
Positions (direct):
Th 0.000 0.000 0.995
Sm 0.500 0.000 0.506
Sm 0.500 0.500 0.839
Sm 0.000 0.500 0.326



[17]
Below is Pm2PrDyS4 after structural relaxation, with properties calculated at the PBE level.

Values from the calculation:
* energy relative to the elements, uncorrected: -2.01 eV per atom
* Fermi-level density of states: 4.9 states/eV per cell
* spin magnetization: 0.0 μB per formula unit
* density: 6.51 g/cm3

Cell lengths 3.980, 6.963, 7.020 Å; angles 71.03, 90.00, 90.00 degrees
Positions (direct):
S 0.500 0.257 0.739
Dy 0.000 0.500 0.500
Pr 0.500 0.500 0.000
S 0.500 0.743 0.261
Pm 0.000 0.000 0.000
Pm 0.500 0.000 0.500
S 0.000 0.750 0.741
S 0.000 0.250 0.259



[18]
Below is ErPd4Au5 after structural relaxation, with properties calculated at the PBE level.

Values from the calculation:
* Fermi-level density of states: 2.5 states/eV per cell
* spin magnetization: 0.0 μB per formula unit
* formation energy from the elements: -0.406 eV per atom
* density: 14.98 g/cm3

Cell lengths 4.985, 5.794, 7.138 Å; angles 92.37, 117.04, 104.46 degrees
Positions (direct):
Au 0.107 0.397 0.199
Au 0.500 0.500 0.000
Er 0.500 0.000 0.000
Au 0.295 0.199 0.591
Au 0.893 0.603 0.801
Au 0.705 0.801 0.409
Pd 0.298 0.699 0.602
Pd 0.702 0.301 0.398
Pd 0.102 0.895 0.204
Pd 0.898 0.105 0.796



[19]
Below is KHoGeO4 after structural relaxation, with properties calculated at the PBE level.

Values from the calculation:
* energy relative to the elements, uncorrected: -2.39 eV per atom
* Fermi-level density of states: 0.0 states/eV per cell
* spin magnetization: 0.0 μB per formula unit
* density: 4.74 g/cm3

Cell lengths 5.737, 5.879, 7.429 Å; angles 90.00, 107.83, 90.00 degrees
Positions (direct):
Ho 0.200 0.250 0.538
O 0.956 0.478 0.679
Ge 0.259 0.750 0.338
Ho 0.800 0.750 0.462
K 0.682 0.750 0.931
O 0.956 0.022 0.679
K 0.318 0.250 0.069
O 0.044 0.978 0.321
O 0.530 0.250 0.431
Ge 0.741 0.250 0.662
O 0.470 0.750 0.569
O 0.044 0.522 0.321
O 0.545 0.250 0.804
O 0.455 0.750 0.196



[20]
Below is SrSmZnAu after structural relaxation, with properties calculated at the PBE level.

Values from the calculation:
* Fermi-level density of states: 3.1 states/eV per cell
* spin magnetization: 0.0 μB per formula unit
* formation energy from the elements: -0.453 eV per atom
* density: 7.90 g/cm3

Cell lengths 5.298, 5.298, 5.298 Å; angles 60.00, 60.00, 60.00 degrees
Positions (direct):
Sr 0.250 0.250 0.250
Au 0.500 0.500 0.500
Sm 0.750 0.750 0.750
Zn 0.000 0.000 0.000



[21]
Below is LiCd2Ag4 after structural relaxation, with properties calculated at the PBE level.

Values from the calculation:
* Fermi-level density of states: 2.8 states/eV per cell
* spin magnetization: 0.0 μB per formula unit
* formation energy from the elements: 0.266 eV per atom
* density: 7.46 g/cm3

Cell lengths 4.566, 4.566, 7.785 Å; angles 72.95, 72.95, 90.00 degrees
Positions (direct):
Li 0.000 0.000 0.000
Cd 0.368 0.368 0.263
Ag 0.173 0.173 0.653
Cd 0.632 0.632 0.737
Ag 0.500 0.000 0.000
Ag 0.000 0.500 0.000
Ag 0.827 0.827 0.347



[22]
Below is CoCu4Si after structural relaxation, with properties calculated at the PBE level.

Values from the calculation:
* energy relative to the elements, uncorrected: 0.28 eV per atom
* Fermi-level density of states: 5.8 states/eV per cell
* spin magnetization: 1.9 μB per formula unit
* density: 7.57 g/cm3

Cell lengths 4.731, 4.731, 4.731 Å; angles 60.00, 60.00, 60.00 degrees
Last column: magnetic moment on the atom in μB.
Positions (direct):
Co 0.000 0.000 0.000  1.61
Cu 0.375 0.375 0.375  0.05
Cu 0.375 0.875 0.375  0.05
Cu 0.375 0.375 0.875  0.05
Si 0.750 0.750 0.750  0.03
Cu 0.875 0.375 0.375  0.05



[23]
Below is La2ErTmBi4 after structural relaxation, with properties calculated at the PBE level.

Values from the calculation:
* Fermi-level density of states: 1.2 states/eV per cell
* spin magnetization: 0.0 μB per formula unit
* formation energy from the elements: -0.923 eV per atom
* density: 8.89 g/cm3

Cell lengths 4.587, 7.939, 7.893 Å; angles 109.59, 90.00, 90.00 degrees
Positions (direct):
Tm 0.000 0.000 0.000
La 0.500 0.000 0.500
Bi 0.500 0.756 0.766
Bi 0.000 0.745 0.235
Bi 0.000 0.255 0.765
La 0.000 0.500 0.500
Bi 0.500 0.244 0.234
Er 0.500 0.500 0.000